Record 1
TlFeAs2Br: optimized geometry, PBE.

Its energy above the most stable polymorph in this dataset is 5.98 eV/f.u. The calculation puts the volume at 31.698 Å³ per atom. The calculation puts the uncorrected formation energy at 29.8 kcal/mol of atoms.

a = 5.305 Å, b = 5.305 Å, c = 5.632 Å
α = 90.00°, β = 90.00°, γ = 90.00°
Sites, in units of the cell vectors:
Tl 0.000 0.000 0.000
Fe 0.500 0.500 0.500
As 0.000 0.500 0.000
As 0.500 0.000 0.000
Br 0.000 0.000 0.500

Record 2
AcPmSmCd: optimized geometry, PBE.

Its energy above the most stable polymorph in this dataset is 0.71 eV/f.u. The calculation puts the volume at 32.735 Å³ per atom. For the formation energy, the calculation gives 0.036 eV per atom.

a = 5.700 Å, b = 5.700 Å, c = 5.700 Å
α = 60.00°, β = 60.00°, γ = 60.00°
Sites, in units of the cell vectors:
Ac 0.000 0.000 0.000
Pm 0.250 0.250 0.250
Sm 0.750 0.750 0.750
Cd 0.500 0.500 0.500

Record 3
CsTh6S12: optimized geometry, PBE.

The calculation puts the volume at 27.230 Å³ per atom. The calculation puts the uncorrected formation energy at -40.8 kcal/mol of atoms.

a = 8.418 Å, b = 8.418 Å, c = 8.418 Å
α = 105.36°, β = 105.36°, γ = 105.36°
Sites, in units of the cell vectors:
Cs 0.000 0.000 0.000
Th 0.249 0.249 0.654
Th 0.249 0.654 0.249
Th 0.346 0.751 0.751
Th 0.654 0.249 0.249
Th 0.751 0.346 0.751
Th 0.751 0.751 0.346
S 0.129 0.500 0.871
S 0.129 0.871 0.500
S 0.179 0.445 0.445
S 0.445 0.179 0.445
S 0.445 0.445 0.179
S 0.500 0.129 0.871
S 0.500 0.871 0.129
S 0.555 0.555 0.821
S 0.555 0.821 0.555
S 0.821 0.555 0.555
S 0.871 0.129 0.500
S 0.871 0.500 0.129

Record 4
LiTc2Hg: optimized geometry, PBE.

The calculation puts the volume at 16.171 Å³ per atom. For the formation energy, the calculation gives 0.626 eV per atom.

a = 2.680 Å, b = 2.680 Å, c = 9.409 Å
α = 90.00°, β = 90.00°, γ = 106.88°
Sites, in units of the cell vectors:
Li 0.000 0.000 0.000
Tc 0.500 0.500 0.240
Tc 0.500 0.500 0.760
Hg 0.000 0.000 0.500